# GGA-PBEsol MnPRh, optimized geometry
# - Space group: No. 189
data_MnPRh
_cell_length_a 3.509
_cell_length_b 6.135
_cell_length_c 6.135
_cell_angle_alpha 120.00
_cell_angle_beta 90.00
_cell_angle_gamma 90.00
_space_group_name_H-M_alt 'P 1'
_space_group_IT_number 1
_space_group_name_Hall 'P 1'
loop_
_atom_site_label
_atom_site_type_symbol
_atom_site_fract_x
_atom_site_fract_y
_atom_site_fract_z
_atom_site_occupancy
Mn1 Mn 0.500 0.599 0.000 1
Mn2 Mn 0.500 0.401 0.401 1
Mn3 Mn 0.500 0.000 0.599 1
P1 P 0.000 0.333 0.667 1
P2 P 0.000 0.667 0.333 1
P3 P 0.500 0.000 0.000 1
Rh1 Rh 0.000 0.264 0.000 1
Rh2 Rh 0.000 0.736 0.736 1
Rh3 Rh 0.000 0.000 0.264 1

# GGA-PBEsol MnP2Rh, optimized geometry
# - Space group: No. 225
# - Energy relative to the lowest polymorph listed for this composition: 0.81 eV per formula unit
data_MnP2Rh
_cell_length_a 4.064
_cell_length_b 4.064
_cell_length_c 4.064
_cell_angle_alpha 60.00
_cell_angle_beta 60.00
_cell_angle_gamma 60.00
_space_group_name_H-M_alt 'P 1'
_space_group_IT_number 1
_space_group_name_Hall 'P 1'
loop_
_atom_site_label
_atom_site_type_symbol
_atom_site_fract_x
_atom_site_fract_y
_atom_site_fract_z
_atom_site_occupancy
Mn1 Mn 0.000 0.000 0.000 1
P1 P 0.250 0.250 0.250 1
P2 P 0.750 0.750 0.750 1
Rh1 Rh 0.500 0.500 0.500 1

# GGA-PBEsol MnP2Rh, optimized geometry
# - Space group: No. 99
# - Energy relative to the lowest polymorph listed for this composition: 0.00 eV per formula unit
data_MnP2Rh
_cell_length_a 3.212
_cell_length_b 3.212
_cell_length_c 4.831
_cell_angle_alpha 90.00
_cell_angle_beta 90.00
_cell_angle_gamma 90.00
_space_group_name_H-M_alt 'P 1'
_space_group_IT_number 1
_space_group_name_Hall 'P 1'
loop_
_atom_site_label
_atom_site_type_symbol
_atom_site_fract_x
_atom_site_fract_y
_atom_site_fract_z
_atom_site_occupancy
Mn1 Mn 0.500 0.500 0.810 1
P1 P 0.000 0.000 0.947 1
P2 P 0.500 0.500 0.295 1
Rh1 Rh 0.000 0.000 0.448 1

| no. | DFT formation energy (eV/atom) | uncorrected energy (eV per atom) | spin magnetization (μB per formula unit) |
| --- | --- | --- | --- |
| 1 | -0.594 | -8.49 | 3.1 |
| 2 | -0.268 | -7.64 | 1.4 |
| 3 | -0.472 | -7.84 | 1.8 |